Below is Ba3Ta5O15 after structural relaxation, with properties calculated at the GGA-PBE level.

Computed properties:
- calculated volume (A^3/atom) = 13.86
- uncorrected energy (eV per cell) = -415.65

Cell lengths 12.641, 12.641, 3.988 Å; angles 90.00, 90.00, 90.00 degrees
Sites, in units of the cell vectors:
Ba  0.000  0.000  0.000
Ba  0.169  0.331  0.000
Ba  0.331  0.831  0.000
Ba  0.500  0.500  0.000
Ba  0.669  0.169  0.000
Ba  0.831  0.669  0.000
Ta  0.000  0.500  0.500
Ta  0.077  0.787  0.500
Ta  0.213  0.077  0.500
Ta  0.287  0.577  0.500
Ta  0.423  0.287  0.500
Ta  0.500  0.000  0.500
Ta  0.577  0.713  0.500
Ta  0.713  0.423  0.500
Ta  0.787  0.923  0.500
Ta  0.923  0.213  0.500
O  0.000  0.500  0.000
O  0.007  0.343  0.500
O  0.068  0.140  0.500
O  0.079  0.791  0.000
O  0.140  0.932  0.500
O  0.157  0.493  0.500
O  0.209  0.079  0.000
O  0.220  0.720  0.500
O  0.280  0.220  0.500
O  0.291  0.579  0.000
O  0.343  0.993  0.500
O  0.360  0.432  0.500
O  0.421  0.291  0.000
O  0.432  0.640  0.500
O  0.493  0.843  0.500
O  0.500  0.000  0.000
O  0.507  0.157  0.500
O  0.568  0.360  0.500
O  0.579  0.709  0.000
O  0.640  0.568  0.500
O  0.657  0.007  0.500
O  0.709  0.421  0.000
O  0.720  0.780  0.500
O  0.780  0.280  0.500
O  0.791  0.921  0.000
O  0.843  0.507  0.500
O  0.860  0.068  0.500
O  0.921  0.209  0.000
O  0.932  0.860  0.500
O  0.993  0.657  0.500

Below is Ba2Ta6Te2O21 after structural relaxation, with properties calculated at the GGA-PBE level.

Computed properties:
- calculated volume (A^3/atom) = 14.74
- uncorrected energy (eV per cell) = -265.91

Cell lengths 8.865, 8.865, 9.630 Å; angles 96.42, 96.42, 37.44 degrees
Sites, in units of the cell vectors:
Ba  0.138  0.138  0.025
Ba  0.862  0.862  0.975
Ta  0.100  0.100  0.420
Ta  0.323  0.323  0.325
Ta  0.479  0.479  0.836
Ta  0.521  0.521  0.164
Ta  0.677  0.677  0.675
Ta  0.900  0.900  0.580
Te  0.276  0.276  0.746
Te  0.724  0.724  0.254
O  0.000  0.000  0.500
O  0.022  0.542  0.169
O  0.103  0.606  0.446
O  0.176  0.692  0.721
O  0.209  0.209  0.348
O  0.275  0.725  0.000
O  0.308  0.824  0.279
O  0.358  0.358  0.899
O  0.394  0.897  0.554
O  0.418  0.418  0.219
O  0.458  0.978  0.831
O  0.542  0.022  0.169
O  0.582  0.582  0.781
O  0.606  0.103  0.446
O  0.642  0.642  0.101
O  0.692  0.176  0.721
O  0.725  0.275  0.000
O  0.791  0.791  0.652
O  0.824  0.308  0.279
O  0.897  0.394  0.554
O  0.978  0.458  0.831

Below is Ba3TmTa2O9 after structural relaxation, with properties calculated at the GGA-PBE level.

Computed properties:
- calculated volume (A^3/atom) = 14.49
- uncorrected energy (eV per cell) = -124.56

Cell lengths 5.891, 5.891, 7.229 Å; angles 90.00, 90.00, 120.00 degrees
Sites, in units of the cell vectors:
Ba  0.000  0.000  0.000
Ba  0.333  0.667  0.665
Ba  0.667  0.333  0.335
Tm  0.000  0.000  0.500
Ta  0.333  0.667  0.164
Ta  0.667  0.333  0.836
O  0.000  0.500  0.000
O  0.174  0.348  0.321
O  0.174  0.826  0.321
O  0.348  0.174  0.679
O  0.500  0.000  0.000
O  0.500  0.500  0.000
O  0.652  0.826  0.321
O  0.826  0.174  0.679
O  0.826  0.652  0.679

Below is Ba3Ta2ZnO9 after structural relaxation, with properties calculated at the GGA-PBE level.

Computed properties:
- calculated volume (A^3/atom) = 13.81
- uncorrected energy (eV per cell) = -117.25

Cell lengths 5.792, 5.792, 7.131 Å; angles 90.00, 90.00, 120.00 degrees
Sites, in units of the cell vectors:
Ba  0.000  0.000  0.000
Ba  0.333  0.667  0.662
Ba  0.667  0.333  0.338
Ta  0.333  0.667  0.175
Ta  0.667  0.333  0.825
Zn  0.000  0.000  0.500
O  0.000  0.500  0.000
O  0.172  0.343  0.324
O  0.172  0.828  0.324
O  0.343  0.172  0.676
O  0.500  0.000  0.000
O  0.500  0.500  0.000
O  0.657  0.828  0.324
O  0.828  0.172  0.676
O  0.828  0.657  0.676

Below is BaTb2O4 after structural relaxation, with properties calculated at the GGA-PBE level.

Computed properties:
- calculated volume (A^3/atom) = 15.78
- excess energy over the best structure of this formula in the dataset (eV/f.u.) = 0.00

Cell lengths 10.429, 3.479, 12.176 Å; angles 90.00, 90.00, 90.00 degrees
Sites, in units of the cell vectors:
Ba  0.246  0.250  0.150
Ba  0.254  0.750  0.650
Ba  0.746  0.250  0.350
Ba  0.754  0.750  0.850
Tb  0.074  0.250  0.389
Tb  0.079  0.250  0.891
Tb  0.421  0.750  0.391
Tb  0.426  0.750  0.889
Tb  0.574  0.250  0.111
Tb  0.579  0.250  0.609
Tb  0.921  0.750  0.109
Tb  0.926  0.750  0.611
O  0.020  0.750  0.783
O  0.071  0.250  0.574
O  0.117  0.750  0.018
O  0.209  0.750  0.338
O  0.291  0.250  0.838
O  0.383  0.250  0.518
O  0.429  0.750  0.074
O  0.480  0.250  0.283
O  0.520  0.750  0.717
O  0.571  0.250  0.926
O  0.617  0.750  0.482
O  0.709  0.750  0.162
O  0.791  0.250  0.662
O  0.883  0.250  0.982
O  0.929  0.750  0.426
O  0.980  0.250  0.217

Below is BaTb2O4 after structural relaxation, with properties calculated at the GGA-PBE level.

Computed properties:
- calculated volume (A^3/atom) = 17.89
- excess energy over the best structure of this formula in the dataset (eV/f.u.) = 0.04

Cell lengths 7.075, 7.075, 7.075 Å; angles 60.00, 60.00, 60.00 degrees
Sites, in units of the cell vectors:
Ba  0.125  0.125  0.125
Ba  0.875  0.875  0.875
Tb  0.000  0.500  0.500
Tb  0.500  0.000  0.500
Tb  0.500  0.500  0.000
Tb  0.500  0.500  0.500
O  0.270  0.270  0.270
O  0.270  0.270  0.689
O  0.270  0.689  0.270
O  0.311  0.730  0.730
O  0.689  0.270  0.270
O  0.730  0.311  0.730
O  0.730  0.730  0.311
O  0.730  0.730  0.730

Below is Ba2TbZrO6 after structural relaxation, with properties calculated at the GGA-PBE level.

Computed properties:
- calculated volume (A^3/atom) = 16.03
- uncorrected energy (eV per cell) = -76.27

Cell lengths 6.100, 6.100, 6.100 Å; angles 120.09, 120.09, 89.85 degrees
Sites, in units of the cell vectors:
Ba  0.250  0.750  0.500
Ba  0.750  0.250  0.500
Tb  0.000  0.000  0.000
Zr  0.500  0.500  0.000
O  0.258  0.258  0.000
O  0.258  0.258  0.515
O  0.258  0.742  0.000
O  0.742  0.258  0.000
O  0.742  0.742  0.000
O  0.742  0.742  0.485

Below is BaTcO3 after structural relaxation, with properties calculated at the GGA-PBE level.

Computed properties:
- calculated volume (A^3/atom) = 15.29
- uncorrected energy (eV per cell) = -72.23

Cell lengths 6.375, 6.375, 6.375 Å; angles 52.94, 52.94, 52.94 degrees
Sites, in units of the cell vectors:
Ba  0.126  0.126  0.126
Ba  0.874  0.874  0.874
Tc  0.336  0.336  0.336
Tc  0.664  0.664  0.664
O  0.061  0.482  0.658
O  0.342  0.939  0.518
O  0.482  0.658  0.061
O  0.518  0.342  0.939
O  0.658  0.061  0.482
O  0.939  0.518  0.342

Below is BaTcO3 after structural relaxation, with properties calculated at the GGA-PBE level.

Computed properties:
- calculated volume (A^3/atom) = 15.32
- uncorrected energy (eV per cell) = -30.80

Cell lengths 3.792, 3.792, 5.328 Å; angles 90.00, 90.00, 90.00 degrees
Sites, in units of the cell vectors:
Ba  0.000  0.000  0.000
Tc  0.500  0.500  0.417
O  0.000  0.000  0.575
O  0.000  0.500  0.301
O  0.500  0.000  0.301

Below is BaTcO3 after structural relaxation, with properties calculated at the GGA-PBE level.

Computed properties:
- calculated volume (A^3/atom) = 13.73
- uncorrected energy (eV per cell) = -224.45

Cell lengths 5.781, 5.781, 14.229 Å; angles 90.00, 90.00, 120.00 degrees
Sites, in units of the cell vectors:
Ba  0.000  0.000  0.250
Ba  0.000  0.000  0.750
Ba  0.333  0.667  0.095
Ba  0.333  0.667  0.405
Ba  0.667  0.333  0.595
Ba  0.667  0.333  0.905
Tc  0.000  0.000  0.000
Tc  0.000  0.000  0.500
Tc  0.333  0.667  0.653
Tc  0.333  0.667  0.847
Tc  0.667  0.333  0.153
Tc  0.667  0.333  0.347
O  0.026  0.513  0.750
O  0.164  0.329  0.580
O  0.164  0.329  0.920
O  0.164  0.836  0.580
O  0.164  0.836  0.920
O  0.329  0.164  0.080
O  0.329  0.164  0.420
O  0.487  0.513  0.750
O  0.487  0.974  0.750
O  0.513  0.026  0.250
O  0.513  0.487  0.250
O  0.671  0.836  0.580
O  0.671  0.836  0.920
O  0.836  0.164  0.080
O  0.836  0.164  0.420
O  0.836  0.671  0.080
O  0.836  0.671  0.420
O  0.974  0.487  0.250

Below is BaTcO3 after structural relaxation, with properties calculated at the GGA-PBE level.

Computed properties:
- calculated volume (A^3/atom) = 18.19
- uncorrected energy (eV per cell) = -71.77

Cell lengths 6.173, 6.173, 6.173 Å; angles 64.25, 64.25, 64.25 degrees
Sites, in units of the cell vectors:
Ba  0.000  0.000  0.000
Ba  0.500  0.500  0.500
Tc  0.250  0.250  0.250
Tc  0.750  0.750  0.750
O  0.022  0.750  0.478
O  0.250  0.522  0.978
O  0.478  0.022  0.750
O  0.522  0.978  0.250
O  0.750  0.478  0.022
O  0.978  0.250  0.522

Below is Ba3TcO6 after structural relaxation, with properties calculated at the GGA-PBE level.

Computed properties:
- calculated volume (A^3/atom) = 16.92
- uncorrected energy (eV per cell) = -68.01

Cell lengths 6.064, 6.064, 6.335 Å; angles 118.38, 118.38, 60.42 degrees
Sites, in units of the cell vectors:
Ba  0.000  0.000  0.000
Ba  0.242  0.242  0.726
Ba  0.758  0.758  0.274
Tc  0.500  0.500  0.500
O  0.217  0.667  0.651
O  0.295  0.295  0.201
O  0.333  0.783  0.349
O  0.667  0.217  0.651
O  0.705  0.705  0.799
O  0.783  0.333  0.349

Q: Which of these has the lowest calculated volume?
A: number 10

Q: Which of these has the highest calculated volume?
A: number 11

Q: What is the formula in the third record?
A: Ba3TmTa2O9